Density functional theory data (PBE-GGA) for Cr2Ru after structural relaxation.

Computed properties:
Space group: Imma (74)

a b c (Å): 2.6953 4.1292 14.2055
angles (deg): 90.00 90.00 90.00
With the nearest neighbours (Å) after each atom.
Fractional positions:
Cr 0.5000 0.7500 0.6889  3 Cr 2.20-2.32
Cr 0.0000 0.7500 0.8111  3 Cr 2.20-2.32
Cr 0.5000 0.7500 0.5255  3 Cr 2.19-2.32
Cr 0.0000 0.2500 0.1889  3 Cr 2.20-2.32
Cr 0.5000 0.2500 0.4745  3 Cr 2.19-2.32
Cr 0.5000 0.2500 0.3111  3 Cr 2.20-2.32
Ru 0.5000 0.7500 0.1295  10 Cr 2.58-2.87, 2 Ru 2.70
Ru 0.0000 0.7500 0.3705  10 Cr 2.58-2.87, 2 Ru 2.70
Ru 0.0000 0.2500 0.6295  10 Cr 2.58-2.87, 2 Ru 2.70
Cr 0.0000 0.2500 0.0255  3 Cr 2.19-2.32
Ru 0.5000 0.2500 0.8705  10 Cr 2.58-2.87, 2 Ru 2.70
Cr 0.0000 0.7500 0.9745  3 Cr 2.19-2.32

Density functional theory data (PBE-GGA) for CrRu after structural relaxation.

Computed properties:
Space group: I4_1/amd (141)

a b c (Å): 3.6939 4.6115 3.6939
angles (deg): 66.39 90.00 113.61
With the nearest neighbours (Å) after each atom.
Fractional positions:
Cr 0.0000 0.0000 0.0000  8 Ru 2.61-2.65, 4 Cr 2.65
Ru 0.5000 0.0000 0.5000  8 Cr 2.61-2.65, 4 Ru 2.65
Cr 0.7500 0.5000 0.7500  8 Ru 2.61-2.65, 4 Cr 2.65
Ru 0.2500 0.5000 0.2500  8 Cr 2.61-2.65, 4 Ru 2.65

Density functional theory data (PBE-GGA) for Cr2Ru after structural relaxation.

Computed properties:
Space group: Cmcm (63)

a b c (Å): 6.3353 6.3353 4.2109
angles (deg): 90.00 90.00 153.58
With the nearest neighbours (Å) after each atom.
Fractional positions:
Cr 0.2440 0.7560 0.2500  2 Cr 2.28
Cr 0.6010 0.3990 0.2500  2 Cr 2.28
Ru 0.0771 0.9229 0.7500  8 Cr 2.57-2.64, 2 Ru 2.84
Ru 0.9229 0.0771 0.2500  8 Cr 2.57-2.64, 2 Ru 2.84
Cr 0.3990 0.6010 0.7500  2 Cr 2.28
Cr 0.7560 0.2440 0.7500  2 Cr 2.28

| no. | energy of formation (eV per atom) | final energy (eV/atom) |
| --- | --- | --- |
| 1 | 0.442 | -9.065 |
| 2 | 0.144 | -9.306 |
| 3 | 0.087 | -9.420 |